A relaxed structure of Pm3H2S3, computed with PBE.

Values from the calculation:
The calculation puts the final energy at -5.56 eV per atom. The value obtained for the total moment is 0.000 μB/cell. Its space group is P6_3/mcm, No. 193. The calculation puts the theoretical density at 5.38 g cm⁻³.

Structure (extended XYZ):
```
16
Lattice="-3.866 3.973 1.125 -0.973 -3.079 7.532 5.598 5.831 -1.351" Properties=species:S:1:pos:R:3 pbc="T T T"
H 1.217 -0.109 4.571
H 1.474 4.847 2.172
H 3.408 2.861 1.610
H -0.716 1.877 5.133
S -3.191 2.057 3.101
S -1.222 4.727 0.439
S 0.339 4.906 5.172
S 0.420 1.818 2.134
S 2.954 5.076 -0.665
S -1.648 -1.163 5.555
Pm -3.519 1.021 5.634
Pm -1.216 3.981 3.093
Pm 0.661 6.688 -0.016
Pm 1.071 3.116 -0.211
Pm 1.975 2.743 4.212
Pm -1.321 -0.128 3.023
```

A relaxed structure of CuSi2, computed with PBE.

Values from the calculation:
The calculation puts the final energy at -4.71 eV per atom. The value obtained for the total moment is 0.000 μB/cell. The energy relative to the elements, uncorrected comes out at 6.3 kcal/mol of atoms. Its space group is Pnma, No. 62. The calculation puts the theoretical density at 4.74 g cm⁻³.

Structure (extended XYZ):
```
12
Lattice="-1.646 0.966 3.844 -4.595 -0.927 -1.734 0.689 -7.478 2.174" Properties=species:S:1:pos:R:3 pbc="T T T"
Si -3.708 -6.326 1.200
Si -4.107 -1.949 2.325
Si -0.715 -2.806 1.597
Si -1.445 -5.491 1.959
Si -3.208 -1.145 0.112
Si -4.837 -4.633 2.687
Si -2.344 -6.294 4.172
Si -1.844 -1.114 3.084
Cu -2.491 -3.685 3.453
Cu -4.506 -7.205 3.474
Cu -3.061 -3.754 0.831
Cu -1.045 -0.234 0.809
```

A relaxed structure of Sr2GaGe, computed with PBE.

Values from the calculation:
The calculation puts the final energy at -3.15 eV per atom. The value obtained for the total moment is 0.000 μB/cell. Its space group is P4/mmm, No. 123. The calculation puts the theoretical density at 4.54 g cm⁻³. For the formation energy, the calculation gives -0.394 eV/atom.

Structure (extended XYZ):
```
4
Lattice="4.169 0.000 0.000 0.000 5.279 0.000 0.000 0.000 5.279" Properties=species:S:1:pos:R:3 pbc="T T T"
Ga 2.085 2.639 2.639
Sr 0.000 2.639 0.000
Sr 0.000 0.000 2.639
Ge 2.085 0.000 0.000
```

A relaxed structure of DyCdRh, computed with PBE.

Values from the calculation:
The calculation puts the final energy at -4.88 eV per atom. The value obtained for the total moment is 0.000 μB/cell. Its space group is C2/m, No. 12. The calculation puts the theoretical density at 9.70 g cm⁻³. For the formation energy, the calculation gives -0.591 eV/atom.

Structure (extended XYZ):
```
6
Lattice="3.704 0.000 0.974 1.600 4.943 1.446 0.124 -0.194 7.056" Properties=species:S:1:pos:R:3 pbc="T T T"
Dy 3.253 3.409 2.689
Dy 2.175 1.339 6.787
Cd 1.031 1.044 3.608
Cd 4.397 3.704 5.869
Rh 2.039 4.131 7.306
Rh 3.389 0.617 2.171
```

A relaxed structure of CrGe2S4, computed with PBE.

Values from the calculation:
The calculation puts the final energy at -5.05 eV per atom. The value obtained for the total moment is 2.312 μB/cell. The energy relative to the elements, uncorrected comes out at 0.1 kcal/mol of atoms. Its space group is I4/mmm, No. 139. The calculation puts the theoretical density at 3.81 g cm⁻³.

Structure (extended XYZ):
```
7
Lattice="4.825 0.000 0.000 0.000 4.825 0.000 2.413 2.413 6.099" Properties=species:S:1:pos:R:3 pbc="T T T"
Ge 2.413 2.413 1.503
Ge 4.825 4.825 4.596
S 2.413 0.000 0.000
S 4.825 4.825 2.327
S 2.413 2.413 3.772
S 0.000 2.413 0.000
Cr 0.000 0.000 0.000
```

A relaxed structure of CaZnS, computed with PBE.

Values from the calculation:
The calculation puts the final energy at -3.38 eV per atom. The value obtained for the total moment is 0.000 μB/cell. The energy relative to the elements, uncorrected comes out at -21.0 kcal/mol of atoms. The calculation puts the energy relative to the lowest polymorph listed for this composition at 246 meV per atom. Its space group is Cm, No. 8. The calculation puts the theoretical density at 2.91 g cm⁻³.

Structure (extended XYZ):
```
6
Lattice="-2.872 -0.069 -2.604 -0.774 -3.367 0.943 -4.355 3.915 10.412" Properties=species:S:1:pos:R:3 pbc="T T T"
Ca -4.891 1.307 7.458
Ca -2.327 1.033 1.780
Zn -2.798 2.085 5.151
Zn -1.008 -1.556 0.417
S -6.571 3.293 6.372
S -4.780 -0.348 1.637
```